# 1
This record from Alexandria describes crystalline PrGdMnIn at its relaxed geometry. The functional is PBE.

Structure (POSCAR):
```
PrGdMnIn
1.0
5.321 0.000 0.000
2.661 4.608 0.000
2.661 1.536 4.345
Gd In Pr Mn
1 1 1 1
Direct
0.500 0.500 0.500
0.250 0.250 0.250
0.000 0.000 0.000
0.750 0.750 0.750
```

- Final energy: -7.78 eV per atom
- Formation enthalpy at 0 K: -0.360 eV/f.u.
- Size of the total moment: 3.86 μB per cell
- DOS at the Fermi energy: 4.782 states/eV per cell


# 2
This record from Alexandria describes crystalline SmGdMnIn at its relaxed geometry. The functional is PBE.

Structure (POSCAR):
```
SmGdMnIn
1.0
-2.618 -4.548 -0.559
-0.056 -3.513 3.937
-4.441 -0.840 2.723
Mn Gd Sm In
1 1 1 1
Direct
0.000 0.000 0.000
0.750 0.750 0.750
0.250 0.250 0.250
0.500 0.500 0.500
```

- Final energy: -7.78 eV per atom
- Formation enthalpy at 0 K: -0.393 eV/f.u.
- Size of the total moment: 3.72 μB per cell
- DOS at the Fermi energy: 5.104 states/eV per cell


# 3
This record from Alexandria describes crystalline GdTmMnIn at its relaxed geometry. The functional is PBE.

Structure (POSCAR):
```
GdTmMnIn
1.0
5.187 0.000 0.000
2.594 4.492 0.000
2.594 1.497 4.235
Tm Mn In Gd
1 1 1 1
Direct
0.000 0.000 0.000
0.250 0.250 0.250
0.750 0.750 0.750
0.500 0.500 0.500
```

- Final energy: -7.72 eV per atom
- Formation enthalpy at 0 K: -0.423 eV/f.u.
- Size of the total moment: 3.68 μB per cell
- DOS at the Fermi energy: 5.074 states/eV per cell


# 4
This record from Alexandria describes crystalline GdInN at its relaxed geometry. The functional is PBE.

Structure (POSCAR):
```
GdInN
1.0
-2.781 -1.793 0.575
1.537 -2.754 -1.154
2.521 1.065 5.703
In Gd N
1 1 1
Direct
0.028 0.028 0.055
0.752 0.752 0.504
0.220 0.220 0.440
```

- Final energy: -9.10 eV per atom
- Size of the total moment: 7.04 μB per cell
- DOS at the Fermi energy: 1.326 states/eV per cell


# 5
This record from Alexandria describes crystalline NaGdIn at its relaxed geometry. The functional is PBE.

Structure (POSCAR):
```
NaGdIn
1.0
3.501 0.000 0.000
0.000 3.501 0.000
-1.751 -1.751 7.282
In Na Gd
1 1 1
Direct
0.947 0.947 0.893
0.600 0.600 0.200
0.303 0.303 0.606
```

- Final energy: -6.14 eV per atom
- Formation enthalpy at 0 K: -0.292 eV/f.u.
- Energy relative to the lowest polymorph listed for this composition: 0.030 eV per atom
- Size of the total moment: 7.99 μB per cell
- DOS at the Fermi energy: 3.262 states/eV per cell


# 6
This record from Alexandria describes crystalline NaGdIn at its relaxed geometry. The functional is PBE.

Structure (POSCAR):
```
NaGdIn
1.0
-2.957 -1.052 -1.171
2.506 -3.168 -3.482
-1.265 -1.837 4.844
Na In Gd
1 1 1
Direct
0.840 0.000 0.000
0.827 0.667 0.333
0.333 0.333 0.667
```

- Final energy: -6.17 eV per atom
- Formation enthalpy at 0 K: -0.382 eV/f.u.
- Energy relative to the lowest polymorph listed for this composition: 0.000 eV per atom
- Size of the total moment: 7.60 μB per cell
- DOS at the Fermi energy: 3.114 states/eV per cell


# 7
This record from Alexandria describes crystalline NaGdInSn at its relaxed geometry. The functional is PBE.

Structure (POSCAR):
```
NaGdInSn
1.0
-3.749 1.351 -3.545
-4.643 -2.624 -0.102
-4.466 2.417 1.632
Sn In Na Gd
1 1 1 1
Direct
0.250 0.250 0.250
0.750 0.750 0.750
0.500 0.500 0.500
0.000 0.000 0.000
```

- Final energy: -5.87 eV per atom
- Formation enthalpy at 0 K: -1.342 eV/f.u.
- Size of the total moment: 7.01 μB per cell
- DOS at the Fermi energy: 2.868 states/eV per cell


# 8
This record from Alexandria describes crystalline NaSrGdIn at its relaxed geometry. The functional is PBE.

Structure (POSCAR):
```
NaSrGdIn
1.0
-1.993 -4.897 -2.060
-2.332 -3.810 3.499
-5.593 -0.945 -0.156
Sr Na Gd In
1 1 1 1
Direct
0.750 0.750 0.750
0.500 0.500 0.500
0.250 0.250 0.250
0.000 0.000 0.000
```

- Final energy: -5.09 eV per atom
- Formation enthalpy at 0 K: -0.542 eV/f.u.
- Size of the total moment: 7.36 μB per cell
- DOS at the Fermi energy: 5.035 states/eV per cell


# 9
This record from Alexandria describes crystalline NaGdTmIn at its relaxed geometry. The functional is PBE.

Structure (POSCAR):
```
NaGdTmIn
1.0
-2.572 -3.322 3.367
-2.816 -4.155 -1.947
1.786 -5.030 0.706
In Na Gd Tm
1 1 1 1
Direct
0.000 0.000 0.000
0.500 0.500 0.500
0.750 0.750 0.750
0.250 0.250 0.250
```

- Final energy: -5.77 eV per atom
- Formation enthalpy at 0 K: -0.477 eV/f.u.
- Size of the total moment: 7.67 μB per cell
- DOS at the Fermi energy: 3.552 states/eV per cell


# 10
This record from Alexandria describes crystalline NaGdYIn at its relaxed geometry. The functional is PBE.

Structure (POSCAR):
```
NaGdYIn
1.0
5.420 0.000 0.000
2.710 4.694 0.000
2.710 1.565 4.425
Na In Y Gd
1 1 1 1
Direct
0.000 0.000 0.000
0.500 0.500 0.500
0.750 0.750 0.750
0.250 0.250 0.250
```

- Final energy: -6.31 eV per atom
- Formation enthalpy at 0 K: -0.625 eV/f.u.
- Size of the total moment: 7.76 μB per cell
- DOS at the Fermi energy: 4.157 states/eV per cell


# 11
This record from Alexandria describes crystalline NdGdIn2 at its relaxed geometry. The functional is PBE.

Structure (POSCAR):
```
NdGdIn2
1.0
-1.637 -0.190 -5.167
-4.271 -3.045 -1.381
-4.658 2.365 -1.457
In Nd Gd
2 1 1
Direct
0.750 0.750 0.750
0.250 0.250 0.250
0.500 0.500 0.500
0.000 0.000 0.000
```

- Final energy: -6.57 eV per atom
- Formation enthalpy at 0 K: -1.941 eV/f.u.
- Energy relative to the lowest polymorph listed for this composition: 0.012 eV per atom
- Size of the total moment: 7.16 μB per cell
- DOS at the Fermi energy: 3.239 states/eV per cell


# 12
This record from Alexandria describes crystalline NdGdIn2 at its relaxed geometry. The functional is PBE.

Structure (POSCAR):
```
NdGdIn2
1.0
3.776 0.000 0.000
1.888 3.270 0.000
1.888 1.090 9.863
Nd In Gd
1 2 1
Direct
0.500 0.500 0.500
0.749 0.749 0.754
0.251 0.251 0.246
0.000 0.000 0.000
```

- Final energy: -6.40 eV per atom
- Formation enthalpy at 0 K: -1.257 eV/f.u.
- Energy relative to the lowest polymorph listed for this composition: 0.183 eV per atom
- Size of the total moment: 7.03 μB per cell
- DOS at the Fermi energy: 2.789 states/eV per cell


# 13
This record from Alexandria describes crystalline Nd2GdIn at its relaxed geometry. The functional is PBE.

Structure (POSCAR):
```
Nd2GdIn
1.0
-1.930 -2.787 -4.424
1.067 -5.443 -0.547
-4.103 -3.721 0.623
Nd In Gd
2 1 1
Direct
0.750 0.750 0.750
0.250 0.250 0.250
0.000 0.000 0.000
0.500 0.500 0.500
```

- Final energy: -6.77 eV per atom
- Formation enthalpy at 0 K: -0.707 eV/f.u.
- Energy relative to the lowest polymorph listed for this composition: 0.111 eV per atom
- Size of the total moment: 8.23 μB per cell
- DOS at the Fermi energy: 6.379 states/eV per cell


# 14
This record from Alexandria describes crystalline Nd2GdIn at its relaxed geometry. The functional is PBE.

Structure (POSCAR):
```
Nd2GdIn
1.0
4.946 0.000 0.000
0.000 4.963 0.000
0.000 0.000 4.963
Gd In Nd
1 1 2
Direct
0.500 0.500 0.500
0.500 0.000 0.000
0.000 0.500 0.000
0.000 0.000 0.500
```

- Final energy: -6.88 eV per atom
- Formation enthalpy at 0 K: -1.152 eV/f.u.
- Energy relative to the lowest polymorph listed for this composition: 0.000 eV per atom
- Size of the total moment: 7.90 μB per cell
- DOS at the Fermi energy: 4.766 states/eV per cell


# 15
This record from Alexandria describes crystalline NdGdIn2 at its relaxed geometry. The functional is PBE.

Structure (POSCAR):
```
NdGdIn2
1.0
-1.485 -3.507 0.154
2.281 -0.837 2.937
-5.429 2.514 4.932
In Gd Nd
2 1 1
Direct
0.000 0.000 0.257
0.000 0.000 0.743
0.500 0.500 0.500
0.500 0.500 0.000
```

- Final energy: -6.58 eV per atom
- Formation enthalpy at 0 K: -1.991 eV/f.u.
- Energy relative to the lowest polymorph listed for this composition: 0.000 eV per atom
- Size of the total moment: 7.19 μB per cell
- DOS at the Fermi energy: 2.334 states/eV per cell


# 16
This record from Alexandria describes crystalline Nd2GdIn at its relaxed geometry. The functional is PBE.

Structure (POSCAR):
```
Nd2GdIn
1.0
-4.156 0.689 -0.062
0.040 -0.136 -4.211
-1.150 -6.918 0.212
Gd Nd In
1 2 1
Direct
0.500 0.500 0.000
0.000 0.000 0.734
0.000 0.000 0.266
0.500 0.500 0.500
```

- Final energy: -6.78 eV per atom
- Formation enthalpy at 0 K: -0.758 eV/f.u.
- Energy relative to the lowest polymorph listed for this composition: 0.099 eV per atom
- Size of the total moment: 7.69 μB per cell
- DOS at the Fermi energy: 5.351 states/eV per cell